1.
Below is a relaxed structure of Dy2Ga3Co, with properties calculated at the PBE-GGA level.

Results
DFT total energy: -4.7879 eV/atom
Space-group type: Cm
V: 19.2 A^3/atom
Total magnetization: 0.0 μB per formula unit

Cell and atoms, written as CIF:
```
data_Dy2Ga3Co
_cell_length_a 5.565
_cell_length_b 5.565
_cell_length_c 7.058
_cell_angle_alpha 51.91
_cell_angle_beta 51.91
_cell_angle_gamma 45.09
_space_group_name_H-M_alt 'P 1'
_space_group_IT_number 1
loop_
_space_group_symop_operation_xyz
'x,y,z'
loop_
_atom_site_label
_atom_site_fract_x
_atom_site_fract_y
_atom_site_fract_z
Dy1 0.452 0.452 0.304
Dy2 0.550 0.550 0.703
Ga1 0.148 0.148 0.319
Ga2 0.833 0.833 0.090
Ga3 0.179 0.179 0.879
Co1 0.839 0.839 0.705
```

---

2.
Below is a relaxed structure of DyGa2Co, with properties calculated at the PBE-GGA level.

Results
DFT total energy: -4.7706 eV/atom
Space-group type: P4/mmm
V: 16.9 A^3/atom
Total magnetization: 0.9 μB per formula unit

Cell and atoms, written as CIF:
```
data_DyGa2Co
_cell_length_a 3.128
_cell_length_b 3.128
_cell_length_c 6.914
_cell_angle_alpha 90.00
_cell_angle_beta 90.00
_cell_angle_gamma 90.00
_space_group_name_H-M_alt 'P 1'
_space_group_IT_number 1
loop_
_space_group_symop_operation_xyz
'x,y,z'
loop_
_atom_site_label
_atom_site_fract_x
_atom_site_fract_y
_atom_site_fract_z
Co1 0.500 0.500 0.000
Ga1 0.000 0.000 0.809
Ga2 0.000 0.000 0.191
Dy1 0.500 0.500 0.500
```

---

3.
Below is a relaxed structure of Dy2Ga3Co2, with properties calculated at the PBE-GGA level.

Results
DFT total energy: -5.1511 eV/atom
Space-group type: C2/m
V: 17.5 A^3/atom
Total magnetization: 0.0 μB per formula unit

Cell and atoms, written as CIF:
```
data_Dy2Ga3Co2
_cell_length_a 3.986
_cell_length_b 5.329
_cell_length_c 6.895
_cell_angle_alpha 113.44
_cell_angle_beta 90.00
_cell_angle_gamma 111.96
_space_group_name_H-M_alt 'P 1'
_space_group_IT_number 1
loop_
_space_group_symop_operation_xyz
'x,y,z'
loop_
_atom_site_label
_atom_site_fract_x
_atom_site_fract_y
_atom_site_fract_z
Ga1 0.500 0.000 0.000
Ga2 0.641 0.281 0.445
Ga3 0.359 0.719 0.555
Dy1 0.144 0.288 0.774
Dy2 0.856 0.712 0.226
Co1 0.870 0.739 0.801
Co2 0.130 0.261 0.199
```

---

4.
Below is a relaxed structure of DyGa4Co2, with properties calculated at the PBE-GGA level.

Results
DFT total energy: -4.8139 eV/atom
Space-group type: Pnma
V: 15.8 A^3/atom
Total magnetization: 0.0 μB per formula unit

Cell and atoms, written as CIF:
```
data_DyGa4Co2
_cell_length_a 4.141
_cell_length_b 6.352
_cell_length_c 16.818
_cell_angle_alpha 90.00
_cell_angle_beta 90.00
_cell_angle_gamma 90.00
_space_group_name_H-M_alt 'P 1'
_space_group_IT_number 1
loop_
_space_group_symop_operation_xyz
'x,y,z'
loop_
_atom_site_label
_atom_site_fract_x
_atom_site_fract_y
_atom_site_fract_z
Co1 0.250 0.755 0.538
Co2 0.750 0.479 0.716
Co3 0.250 0.979 0.784
Co4 0.750 0.021 0.216
Co5 0.750 0.245 0.462
Co6 0.750 0.255 0.962
Co7 0.250 0.521 0.284
Co8 0.250 0.745 0.038
Dy1 0.250 0.013 0.361
Dy2 0.750 0.987 0.639
Dy3 0.750 0.513 0.139
Dy4 0.250 0.487 0.861
Ga1 0.250 0.816 0.186
Ga2 0.750 0.842 0.468
Ga3 0.250 0.342 0.032
Ga4 0.750 0.496 0.572
Ga5 0.250 0.158 0.532
Ga6 0.750 0.779 0.805
Ga7 0.250 0.684 0.686
Ga8 0.750 0.004 0.072
Ga9 0.750 0.184 0.814
Ga10 0.250 0.504 0.428
Ga11 0.750 0.658 0.968
Ga12 0.250 0.221 0.195
Ga13 0.750 0.316 0.314
Ga14 0.250 0.279 0.695
Ga15 0.250 0.996 0.928
Ga16 0.750 0.721 0.305
```

---

5.
Below is a relaxed structure of Dy2Ga4CoIr3, with properties calculated at the PBE-GGA level.

Results
DFT total energy: -6.1341 eV/atom
Space-group type: P-4m2
V: 17.9 A^3/atom
Total magnetization: 0.0 μB per formula unit

Cell and atoms, written as CIF:
```
data_Dy2Ga4CoIr3
_cell_length_a 4.153
_cell_length_b 4.153
_cell_length_c 10.360
_cell_angle_alpha 90.00
_cell_angle_beta 90.00
_cell_angle_gamma 90.00
_space_group_name_H-M_alt 'P 1'
_space_group_IT_number 1
loop_
_space_group_symop_operation_xyz
'x,y,z'
loop_
_atom_site_label
_atom_site_fract_x
_atom_site_fract_y
_atom_site_fract_z
Dy1 0.500 0.000 0.266
Dy2 0.000 0.500 0.734
Co1 0.500 0.500 0.500
Ir1 0.000 0.000 0.500
Ir2 0.500 0.000 0.860
Ir3 0.000 0.500 0.140
Ga1 0.500 0.000 0.622
Ga2 0.500 0.500 0.000
Ga3 0.000 0.000 0.000
Ga4 0.000 0.500 0.378
```

---

6.
Below is a relaxed structure of DyGa4Co2Ir, with properties calculated at the PBE-GGA level.

Results
DFT total energy: -5.3720 eV/atom
Space-group type: R-3m
V: 15.8 A^3/atom
Total magnetization: 0.0 μB per formula unit

Cell and atoms, written as CIF:
```
data_DyGa4Co2Ir
_cell_length_a 4.106
_cell_length_b 4.106
_cell_length_c 8.977
_cell_angle_alpha 76.78
_cell_angle_beta 76.78
_cell_angle_gamma 60.00
_space_group_name_H-M_alt 'P 1'
_space_group_IT_number 1
loop_
_space_group_symop_operation_xyz
'x,y,z'
loop_
_atom_site_label
_atom_site_fract_x
_atom_site_fract_y
_atom_site_fract_z
Ga1 0.599 0.599 0.202
Ga2 0.128 0.128 0.616
Ga3 0.872 0.872 0.384
Ga4 0.401 0.401 0.798
Co1 0.234 0.234 0.298
Co2 0.766 0.766 0.702
Ir1 0.500 0.500 0.500
Dy1 0.000 0.000 0.000
```

---

7.
Below is a relaxed structure of La2DyGa12Co3, with properties calculated at the PBE-GGA level.

Results
DFT total energy: -4.0989 eV/atom
Space-group type: R-3m
V: 22.1 A^3/atom
Total magnetization: 0.0 μB per formula unit

Cell and atoms, written as CIF:
```
data_La2DyGa12Co3
_cell_length_a 7.974
_cell_length_b 7.974
_cell_length_c 7.974
_cell_angle_alpha 65.07
_cell_angle_beta 65.07
_cell_angle_gamma 65.07
_space_group_name_H-M_alt 'P 1'
_space_group_IT_number 1
loop_
_space_group_symop_operation_xyz
'x,y,z'
loop_
_atom_site_label
_atom_site_fract_x
_atom_site_fract_y
_atom_site_fract_z
Ga1 0.726 0.726 0.092
Ga2 0.274 0.274 0.908
Ga3 0.837 0.837 0.465
Ga4 0.837 0.465 0.837
Ga5 0.163 0.163 0.535
Ga6 0.163 0.535 0.163
Ga7 0.274 0.908 0.274
Ga8 0.535 0.163 0.163
Ga9 0.726 0.092 0.726
Ga10 0.092 0.726 0.726
Ga11 0.908 0.274 0.274
Ga12 0.465 0.837 0.837
Co1 0.000 0.000 0.500
Co2 0.000 0.500 0.000
Co3 0.500 0.000 0.000
La1 0.416 0.416 0.416
La2 0.584 0.584 0.584
Dy1 0.000 0.000 0.000
```

---

8.
Below is a relaxed structure of DyLuGaCo, with properties calculated at the PBE-GGA level.

Results
DFT total energy: -5.1617 eV/atom
Space-group type: F-43m
V: 20.3 A^3/atom
Total magnetization: 0.9 μB per formula unit

Cell and atoms, written as CIF:
```
data_DyLuGaCo
_cell_length_a 4.859
_cell_length_b 4.859
_cell_length_c 4.859
_cell_angle_alpha 60.00
_cell_angle_beta 60.00
_cell_angle_gamma 60.00
_space_group_name_H-M_alt 'P 1'
_space_group_IT_number 1
loop_
_space_group_symop_operation_xyz
'x,y,z'
loop_
_atom_site_label
_atom_site_fract_x
_atom_site_fract_y
_atom_site_fract_z
Ga1 0.250 0.250 0.250
Co1 0.750 0.750 0.750
Lu1 0.500 0.500 0.500
Dy1 0.000 0.000 0.000
```

---

> DFT total energy of number 5 (Dy2Ga4CoIr3)?

-6.1341 eV/atom

---

> The highest V belongs to which entry?

La2DyGa12Co3